A relaxed structure of Ti3InAg. Source: Alexandria via LeMat-Bulk, functional PBE.

Output
For the size of the total moment, the calculation gives 2.58 Bohr magnetons per cell. The density of states at the Fermi level comes out at 5.41 states/eV/f.u. The calculation puts the formation enthalpy at 0 K at -0.1 eV per formula unit.

abc: 3.9906 5.1942 9.4587
angles: 89.64 90.00 112.59
Each line ends with the local moment (μB).
Sites, in units of the cell vectors:
Ti1 0.8459 0.6918 0.4475  -0.22
Ti2 0.2516 0.5033 0.2501  0.45
Ti3 0.9450 0.8900 0.1477  0.76
Ti4 0.0550 0.1100 0.8523  0.76
Ti5 0.7484 0.4967 0.7499  0.45
Ti6 0.1541 0.3082 0.5525  -0.22
Ag1 0.6504 0.3008 0.0460  0.04
Ag2 0.3496 0.6992 0.9540  0.04
In1 0.4487 0.8974 0.6561  -0.01
In2 0.5513 0.1026 0.3439  -0.01